1.
Entry from Alexandria via LeMat-Bulk: crystalline La2VGe4Pt3 at its relaxed geometry (PBE).

Cell: 4.3242 4.3242 10.5738 Å, 90.00 90.00 90.00°
Last column: nearest neighbours and their distance in Å.
Fractional coordinates of all 10 atoms:
La  0.5000  0.0000  0.2454  6 Pt 3.30-3.45, 8 Ge 3.32-3.38, 2 V 3.45
La  0.0000  0.5000  0.7546  6 Pt 3.30-3.45, 8 Ge 3.32-3.38, 2 V 3.45
V  0.5000  0.5000  0.5000  4 Ge 2.57
Ge  0.5000  0.5000  0.0000  4 Pt 2.55
Ge  0.0000  0.0000  0.0000  4 Pt 2.55
Ge  0.5000  0.0000  0.6320  3 Pt 2.55-2.57, 2 V 2.57
Ge  0.0000  0.5000  0.3680  3 Pt 2.55-2.57, 2 V 2.57
Pt  0.0000  0.0000  0.5000  4 Ge 2.57
Pt  0.5000  0.0000  0.8729  5 Ge 2.55
Pt  0.0000  0.5000  0.1271  5 Ge 2.55

* DOS(E_F): 0.594 states/eV per atom
* VASP energy: -6.427 eV per atom
* E_form: -870 meV/atom
* total moment: 0.18 μB/atom

2.
Entry from Alexandria via LeMat-Bulk: crystalline LaYGe2Pt5 at its relaxed geometry (PBE).

Cell: 4.3516 4.3516 9.0331 Å, 90.00 90.00 90.00°
Last column: nearest neighbours and their distance in Å.
Fractional coordinates of all 9 atoms:
La  0.0000  0.0000  0.5000  12 Pt 3.04-3.08
Y  0.0000  0.0000  0.0000  8 Pt 3.24, 8 Ge 3.31
Ge  0.5000  0.5000  0.1351  1 Ge 2.44, 4 Pt 2.47
Ge  0.5000  0.5000  0.8649  1 Ge 2.44, 4 Pt 2.47
Pt  0.0000  0.5000  0.2656  2 Ge 2.47
Pt  0.5000  0.0000  0.2656  2 Ge 2.47
Pt  0.0000  0.5000  0.7344  2 Ge 2.47
Pt  0.5000  0.0000  0.7344  2 Ge 2.47
Pt  0.5000  0.5000  0.5000  8 Pt 3.04, 4 La 3.08, 2 Ge 3.30

* DOS(E_F): 0.339 states/eV per atom
* VASP energy: -6.528 eV per atom
* E_form: -880 meV/atom
* total moment: 0.00 μB/atom

3.
Entry from Alexandria via LeMat-Bulk: crystalline LaYGePt at its relaxed geometry (PBE).

Cell: 5.1483 5.1483 5.1483 Å, 60.00 60.00 60.00°
Last column: nearest neighbours and their distance in Å.
Fractional coordinates of all 4 atoms:
Y  0.5000  0.5000  0.5000  4 Ge 3.15, 4 Pt 3.15
Ge  0.2500  0.2500  0.2500  4 La 3.15, 4 Y 3.15
Pt  0.7500  0.7500  0.7500  4 La 3.15, 4 Y 3.15
La  0.0000  0.0000  0.0000  4 Pt 3.15, 4 Ge 3.15

* DOS(E_F): 0.412 states/eV per atom
* VASP energy: -6.398 eV per atom
* E_form: -885 meV/atom
* total moment: 0.00 μB/atom

4.
Entry from Alexandria via LeMat-Bulk: crystalline La2YGe4Pt3 at its relaxed geometry (PBE).

Cell: 4.3679 4.3679 11.2503 Å, 90.00 90.00 90.00°
Last column: nearest neighbours and their distance in Å.
Fractional coordinates of all 10 atoms:
La  0.5000  0.0000  0.2303  8 Ge 3.32-3.39, 4 Pt 3.35
La  0.0000  0.5000  0.7697  8 Ge 3.32-3.39, 4 Pt 3.35
Y  0.5000  0.5000  0.5000  4 Ge 2.84, 4 Pt 3.09
Ge  0.5000  0.5000  0.0000  4 Pt 2.54
Ge  0.0000  0.0000  0.0000  4 Pt 2.54
Ge  0.5000  0.0000  0.6618  1 Pt 2.51
Ge  0.0000  0.5000  0.3382  1 Pt 2.51
Pt  0.0000  0.0000  0.5000  4 Ge 2.84, 4 Y 3.09
Pt  0.5000  0.0000  0.8845  5 Ge 2.51-2.54
Pt  0.0000  0.5000  0.1155  5 Ge 2.51-2.54

* DOS(E_F): 0.427 states/eV per atom
* VASP energy: -6.254 eV per atom
* E_form: -963 meV/atom
* total moment: 0.00 μB/atom

5.
Entry from Alexandria via LeMat-Bulk: crystalline La2Zn4Ge3Pt at its relaxed geometry (PBE).

Cell: 4.2964 4.2964 10.7152 Å, 90.00 90.00 90.00°
Last column: nearest neighbours and their distance in Å.
Fractional coordinates of all 10 atoms:
La  0.5000  0.0000  0.2542  8 Zn 3.28-3.47, 6 Ge 3.28-3.40, 2 Pt 3.40
La  0.0000  0.5000  0.7458  8 Zn 3.28-3.47, 6 Ge 3.28-3.40, 2 Pt 3.40
Zn  0.5000  0.5000  0.0000  4 Ge 2.61
Zn  0.0000  0.0000  0.0000  4 Ge 2.61
Zn  0.5000  0.0000  0.6308  3 Ge 2.48-2.56, 2 Pt 2.56
Zn  0.0000  0.5000  0.3692  3 Ge 2.48-2.56, 2 Pt 2.56
Ge  0.0000  0.0000  0.5000  4 Zn 2.56
Ge  0.5000  0.0000  0.8623  5 Zn 2.48-2.61
Ge  0.0000  0.5000  0.1377  5 Zn 2.48-2.61
Pt  0.5000  0.5000  0.5000  4 Zn 2.56

* DOS(E_F): 0.334 states/eV per atom
* VASP energy: -4.053 eV per atom
* E_form: -569 meV/atom
* total moment: 0.00 μB/atom

6.
Entry from Alexandria via LeMat-Bulk: crystalline La2Zn3Ge4Pt at its relaxed geometry (PBE).

Cell: 4.3524 4.3524 10.5250 Å, 90.00 90.00 90.00°
Last column: nearest neighbours and their distance in Å.
Fractional coordinates of all 10 atoms:
La  0.5000  0.0000  0.2571  8 Ge 3.29-3.47, 6 Zn 3.34-3.36, 2 Pt 3.36
La  0.0000  0.5000  0.7429  8 Ge 3.29-3.47, 6 Zn 3.34-3.36, 2 Pt 3.36
Zn  0.0000  0.0000  0.5000  4 Ge 2.58
Zn  0.5000  0.0000  0.8658  5 Ge 2.47-2.59
Zn  0.0000  0.5000  0.1342  5 Ge 2.47-2.59
Ge  0.5000  0.5000  0.0000  4 Zn 2.59
Ge  0.0000  0.0000  0.0000  4 Zn 2.59
Ge  0.5000  0.0000  0.6316  3 Zn 2.47-2.58, 2 Pt 2.58
Ge  0.0000  0.5000  0.3684  3 Zn 2.47-2.58, 2 Pt 2.58
Pt  0.5000  0.5000  0.5000  4 Ge 2.58

* DOS(E_F): 0.213 states/eV per atom
* VASP energy: -4.409 eV per atom
* E_form: -591 meV/atom
* total moment: 0.00 μB/atom

7.
Entry from Alexandria via LeMat-Bulk: crystalline La2ZnGePt6 at its relaxed geometry (PBE).

Cell: 5.6919 8.3526 8.3522 Å, 39.84 70.08 90.00°
Last column: nearest neighbours and their distance in Å.
Fractional coordinates of all 10 atoms:
La  0.2079  0.7925  0.5842  7 Pt 3.04-3.40
La  0.7921  0.2075  0.4158  7 Pt 3.04-3.40
Zn  0.5000  0.5000  0.0000  6 Pt 2.57
Ge  0.0000  0.0000  0.0000  6 Pt 2.48
Pt  0.2496  0.7496  0.0128  1 Ge 2.48, 1 Zn 2.57, 2 Pt 2.78
Pt  0.7375  0.7497  0.0128  1 Ge 2.48, 1 Zn 2.57, 2 Pt 2.78
Pt  0.2497  0.2618  0.5004  1 Ge 2.48, 1 Zn 2.57, 2 Pt 2.78
Pt  0.7504  0.2504  0.9872  1 Ge 2.48, 1 Zn 2.57, 2 Pt 2.78
Pt  0.2625  0.2503  0.9872  1 Ge 2.48, 1 Zn 2.57, 2 Pt 2.78
Pt  0.7503  0.7382  0.4996  1 Ge 2.48, 1 Zn 2.57, 2 Pt 2.78

* DOS(E_F): 0.417 states/eV per atom
* VASP energy: -5.981 eV per atom
* E_form: -781 meV/atom
* total moment: 0.00 μB/atom

8.
Entry from Alexandria via LeMat-Bulk: crystalline La2Zn3GePt4 at its relaxed geometry (PBE).

Cell: 4.5411 4.5411 9.6666 Å, 90.00 90.00 90.00°
Last column: nearest neighbours and their distance in Å.
Fractional coordinates of all 10 atoms:
La  0.5000  0.0000  0.2387  8 Pt 3.24-3.50, 7 Zn 3.40-3.51, 2 Ge 3.40
La  0.0000  0.5000  0.7613  8 Pt 3.24-3.50, 7 Zn 3.40-3.51, 2 Ge 3.40
Zn  0.0000  0.0000  0.5000  4 Pt 2.54
Zn  0.5000  0.0000  0.8754  5 Pt 2.50-2.57
Zn  0.0000  0.5000  0.1246  5 Pt 2.50-2.57
Ge  0.5000  0.5000  0.5000  4 Pt 2.54
Pt  0.5000  0.5000  0.0000  4 Zn 2.57
Pt  0.0000  0.0000  0.0000  4 Zn 2.57
Pt  0.5000  0.0000  0.6170  3 Zn 2.50-2.54, 2 Ge 2.54
Pt  0.0000  0.5000  0.3830  3 Zn 2.50-2.54, 2 Ge 2.54

* DOS(E_F): 0.680 states/eV per atom
* VASP energy: -5.080 eV per atom
* E_form: -834 meV/atom
* total moment: 0.00 μB/atom